1.
Compound: Ac2AsPd6Pb
Source: Alexandria
Functional: GGA-PBE
Structure: optimized geometry

For the total moment, the calculation gives 0.0 Bohr magnetons per cell. The calculation puts the formation energy from the elements at -0.588 eV/atom.

The space group is P-1 (No. 2) and the conventional cell measures 6.5785, 6.5882 and 7.3823 Å, with angles of 64.33, 64.21 and 60.38 degrees. The inequivalent atoms are Ac at (0.2431, 0.2433, 0.2715), As at (0.0000, 0.0000, 0.0000), Pd at (0.2421, 0.6700, 0.8434), Pd at (0.2428, 0.2424, 0.8325), Pd at (0.3279, 0.7587, 0.1585) and Pb at (0.5000, 0.5000, 0.5000).

2.
Compound: Nd2ErRu
Source: Alexandria
Functional: GGA-PBE
Structure: optimized geometry

For the total moment, the calculation gives 0.0 Bohr magnetons per cell. The calculation puts the formation energy from the elements at -0.231 eV/atom.

The space group is Pnma (No. 62) and the conventional cell measures 7.3642, 9.6235 and 6.3746 Å, with angles of 90.00, 90.00 and 90.00 degrees. The inequivalent atoms are Nd at (0.1773, 0.0652, 0.1705), Er at (0.0440, 0.2500, 0.6453) and Ru at (0.1156, 0.7500, 0.9615).

3.
Compound: FeNi2Pd
Source: Alexandria
Functional: GGA-PBE
Structure: optimized geometry

For the total moment, the calculation gives 17.3 Bohr magnetons per cell. The calculation puts the formation energy from the elements at 0.348 eV/atom.

The space group is I-42d (No. 122) and the conventional cell measures 6.5716, 6.5716 and 5.0168 Å, with angles of 90.00, 90.00 and 90.00 degrees. The inequivalent atoms are Fe at (0.0000, 0.0000, 0.0000), Ni at (0.2232, 0.2500, 0.1250) and Pd at (0.0000, 0.0000, 0.5000).

4.
Compound: CaAsIr
Source: Alexandria
Functional: GGA-PBE
Structure: optimized geometry

For the total moment, the calculation gives 0.0 Bohr magnetons per cell. The calculation puts the formation energy from the elements at -0.277 eV/atom.

The space group is F-43m (No. 216) and the conventional cell measures 6.3516, 6.3516 and 6.3516 Å, with angles of 90.00, 90.00 and 90.00 degrees. The inequivalent atoms are Ca at (0.0000, 0.0000, 0.0000), As at (0.0000, 0.0000, 0.5000) and Ir at (0.2500, 0.2500, 0.7500).

5.
Compound: Ba2Mg12Ge7
Source: Alexandria
Functional: GGA-PBE
Structure: optimized geometry

For the total moment, the calculation gives 0.0 Bohr magnetons per cell. The calculation puts the formation energy from the elements at -0.361 eV/atom.

The space group is P-3 (No. 147) and the conventional cell measures 11.1626, 11.1626 and 4.4660 Å, with angles of 90.00, 90.00 and 120.00 degrees. The inequivalent atoms are Ba at (0.3333, 0.6667, 0.2423), Mg at (0.0502, 0.6213, 0.7485), Mg at (0.1108, 0.8560, 0.2432), Ge at (0.0000, 0.0000, 0.0000) and Ge at (0.1145, 0.4100, 0.7445).